A plane-wave DFT calculation with PBEsol was carried out for a relaxed structure of InSe2S.

Cell lengths 9.262, 9.262, 9.262 Å; angles 21.53, 21.53, 21.53 degrees
Atoms (fractional coordinates):
1 In 0.000 0.000 0.000
2 Se 0.108 0.108 0.108
3 Se 0.892 0.892 0.892
4 S 0.500 0.500 0.500

Calculated values
As for the energy relative to the elements, uncorrected: 0.26 eV/atom. Its spin magnetization is 0.00 μB per cell. Its space group is R-3m (166). The volume comes out at 23.44 A^3/atom.

A plane-wave DFT calculation with PBEsol was carried out for a relaxed structure of YBeB.

Cell lengths 3.584, 4.963, 5.109 Å; angles 73.40, 75.46, 87.16 degrees
Atoms (fractional coordinates):
1 Y 0.145 0.307 0.287
2 Y 0.855 0.693 0.713
3 Be 0.428 0.158 0.793
4 Be 0.572 0.842 0.207
5 B 0.113 0.852 0.084
6 B 0.887 0.148 0.916

Calculated values
The value obtained for the formation energy from the elements is -7.15 kcal/mol of atoms. Its spin magnetization is 0.00 μB per cell. Its space group is P-1 (2). The volume comes out at 14.05 A^3/atom.

A plane-wave DFT calculation with PBEsol was carried out for a relaxed structure of Li2Ca.

Cell lengths 6.252, 6.252, 7.781 Å; angles 108.76, 108.76, 34.82 degrees
Atoms (fractional coordinates):
1 Li 0.027 0.027 0.220
2 Li 0.347 0.347 0.957
3 Li 0.653 0.653 0.043
4 Li 0.973 0.973 0.780
5 Ca 0.341 0.341 0.383
6 Ca 0.659 0.659 0.617

Calculated values
The value obtained for the formation energy from the elements is 0.63 kcal/mol of atoms. Its spin magnetization is 0.00 μB per cell. Its space group is C2/m (12). Its energy above the most stable polymorph in this dataset is 0.043 eV/atom. The volume comes out at 27.25 A^3/atom.

A plane-wave DFT calculation with PBEsol was carried out for a relaxed structure of Ba2HgP2.

Cell lengths 8.057, 8.057, 4.399 Å; angles 90.00, 90.00, 90.00 degrees
Atoms (fractional coordinates):
1 Ba 0.188 0.312 0.000
2 Ba 0.312 0.812 0.000
3 Ba 0.688 0.188 0.000
4 Ba 0.812 0.688 0.000
5 Hg 0.000 0.000 0.500
6 Hg 0.500 0.500 0.500
7 P 0.096 0.596 0.500
8 P 0.404 0.096 0.500
9 P 0.596 0.904 0.500
10 P 0.904 0.404 0.500

Calculated values
The value obtained for the formation energy from the elements is -19.20 kcal/mol of atoms. Its spin magnetization is 0.00 μB per cell. Its space group is P4/mbm (127). The volume comes out at 28.55 A^3/atom.

A plane-wave DFT calculation with PBEsol was carried out for a relaxed structure of Na4Al3Si3HO13.

Cell lengths 8.753, 8.753, 8.753 Å; angles 90.38, 90.38, 90.38 degrees
Atoms (fractional coordinates):
1 Na 0.000 0.000 0.000
2 Na 0.304 0.304 0.980
3 Na 0.304 0.980 0.304
4 Na 0.480 0.804 0.804
5 Na 0.500 0.500 0.500
6 Na 0.804 0.480 0.804
7 Na 0.804 0.804 0.480
8 Na 0.980 0.304 0.304
9 Al 0.145 0.646 0.897
10 Al 0.146 0.645 0.397
11 Al 0.397 0.146 0.645
12 Al 0.645 0.397 0.146
13 Al 0.646 0.897 0.145
14 Al 0.897 0.145 0.646
15 Si 0.145 0.896 0.647
16 Si 0.147 0.396 0.645
17 Si 0.396 0.645 0.147
18 Si 0.645 0.147 0.396
19 Si 0.647 0.145 0.896
20 Si 0.896 0.647 0.145
21 H 0.227 0.227 0.227
22 H 0.727 0.727 0.727
23 O 0.000 0.723 0.011
24 O 0.011 0.000 0.723
25 O 0.011 0.291 0.570
26 O 0.070 0.791 0.511
27 O 0.072 0.498 0.782
28 O 0.162 0.162 0.162
29 O 0.219 0.793 0.784
30 O 0.223 0.500 0.511
31 O 0.282 0.998 0.572
32 O 0.284 0.293 0.719
33 O 0.291 0.570 0.011
34 O 0.293 0.719 0.284
35 O 0.498 0.782 0.072
36 O 0.500 0.511 0.223
37 O 0.511 0.070 0.791
38 O 0.511 0.223 0.500
39 O 0.570 0.011 0.291
40 O 0.572 0.282 0.998
41 O 0.662 0.662 0.662
42 O 0.719 0.284 0.293
43 O 0.723 0.011 0.000
44 O 0.782 0.072 0.498
45 O 0.784 0.219 0.793
46 O 0.791 0.511 0.070
47 O 0.793 0.784 0.219
48 O 0.998 0.572 0.282

Calculated values
The raw total energy comes out at -7.021 eV per atom. Its spin magnetization is 0.22 μB per cell. Its space group is R3c (161). The volume comes out at 13.97 A^3/atom.

A plane-wave DFT calculation with PBEsol was carried out for a relaxed structure of Y2TlCo2.

Cell lengths 9.306, 9.306, 9.306 Å; angles 159.19, 159.19, 29.60 degrees
Atoms (fractional coordinates):
1 Y 0.125 0.125 0.000
2 Y 0.875 0.875 0.000
3 Tl 0.500 0.500 0.000
4 Co 0.250 0.750 0.500
5 Co 0.750 0.250 0.500

Calculated values
The value obtained for the formation energy from the elements is -1.51 kcal/mol of atoms. Its spin magnetization is 2.42 μB per cell. Its space group is I4/mmm (139). The volume comes out at 20.34 A^3/atom.